The following is a GGA+U calculation of a relaxed CaAlFe2F crystal, from Alexandria via LeMat-Bulk.

Results
size of the total moment: 7.18 μB/cell
density of states at the Fermi level: 0.533 states/eV/atom
DFT total energy: -3.805 eV/atom
symmetry: No. 123
ρ: 3.24 g cm⁻³

Lattice parameters (Å, degrees): 4.656 4.670 4.656 90.00 90.00 90.00
Element x y z (fractional)
1 F 0.000 0.000 0.000
2 Al 0.000 0.500 0.000
3 Ca 0.500 0.500 0.500
4 Fe 0.000 0.000 0.500
5 Fe 0.500 0.000 0.000